Compound: PrScPt2
Source: the Alexandria database
Functional: PBE
Structure: optimized geometry

Properties
The calculation puts the formation energy at -1.111 eV per atom.

Cell lengths 4.5898, 4.5898, 14.5789 Å; angles 90.00, 90.00, 120.00 degrees
Space group R-3m (No. 166, hexagonal axes)
Asymmetric unit:
Pr 0.0000 0.0000 0.0000 x3
Sc 0.0000 0.0000 0.5000 x3
Pt 0.0000 0.0000 0.2173 x6

=====

Compound: Zn2CoBr
Source: the Alexandria database
Functional: PBE
Structure: optimized geometry

Properties
The formation energy without anion corrections is 0.355 eV per atom.

Cell lengths 2.888, 4.125, 11.247 Å; angles 90.00, 90.00, 90.00 degrees
Space group Immm (No. 71)
Asymmetric unit:
Zn 0.000 0.000 0.196 x4
Co 0.000 0.500 0.500 x2
Br 0.000 0.500 0.000 x2

=====

Compound: YCo2Ag
Source: the Alexandria database
Functional: PBE
Structure: optimized geometry

Properties
The calculation puts the formation energy at 0.247 eV per atom.

Cell lengths 6.502, 6.502, 6.502 Å; angles 90.00, 90.00, 90.00 degrees
Space group F-43m (No. 216)
Asymmetric unit:
Y 0.000 0.000 0.000 x4
Co 0.000 0.000 0.500 x4
Co 0.250 0.250 0.750 x4
Ag 0.250 0.250 0.250 x4

=====

Compound: ZnSnP2Cl
Source: the Alexandria database
Functional: PBE
Structure: optimized geometry

Properties
The formation energy without anion corrections is 0.718 eV per atom.

Cell lengths 5.131, 5.131, 5.168 Å; angles 90.00, 90.00, 90.00 degrees
Space group P4/mmm (No. 123)
Asymmetric unit:
Zn 0.000 0.000 0.000 x1
Sn 0.500 0.500 0.500 x1
P 0.000 0.500 0.500 x2
Cl 0.500 0.500 0.000 x1

=====

Compound: InIrBr2
Source: the Alexandria database
Functional: PBE
Structure: optimized geometry

Properties
The formation energy without anion corrections is -0.027 eV per atom.

Cell lengths 4.006, 3.629, 7.849 Å; angles 90.00, 104.49, 90.00 degrees
Space group Pm (No. 6)
Asymmetric unit:
In 0.000 0.000 0.000 x1
Ir 0.473 0.500 0.946 x1
Br 0.345 0.000 0.684 x1
Br 0.629 0.500 0.273 x1

=====

Compound: Si3PdPt
Source: the Alexandria database
Functional: PBE
Structure: optimized geometry

Properties
The formation energy without anion corrections is 0.599 eV per atom.

Cell lengths 4.676, 4.676, 4.676 Å; angles 90.00, 90.00, 90.00 degrees
Space group Pm-3m (No. 221)
Asymmetric unit:
Si 0.000 0.000 0.500 x3
Pd 0.500 0.500 0.500 x1
Pt 0.000 0.000 0.000 x1

=====

Compound: InAg2Os
Source: the Alexandria database
Functional: PBE
Structure: optimized geometry

Properties
The calculation puts the formation energy at 0.469 eV per atom.

Cell lengths 5.601, 10.138, 2.869 Å; angles 90.00, 119.04, 90.00 degrees
Space group C2/m (No. 12)
Asymmetric unit:
In 0.000 0.000 0.000 x2
Ag 0.250 0.250 0.500 x4
Os 0.000 0.500 0.000 x2

=====

Compound: CeMgGaOs
Source: the Alexandria database
Functional: PBE
Structure: optimized geometry

Properties
The calculation puts the formation energy at -0.091 eV per atom.

Cell lengths 6.768, 6.768, 6.768 Å; angles 90.00, 90.00, 90.00 degrees
Space group F-43m (No. 216)
Asymmetric unit:
Ce 0.000 0.000 0.000 x4
Mg 0.000 0.000 0.500 x4
Ga 0.250 0.250 0.750 x4
Os 0.250 0.250 0.250 x4

=====

Number 1: E -6.9096 eV/atom. Number 2: E -2.4762 eV/atom. Number 3: E -5.6351 eV/atom. Number 4: E -2.8702 eV/atom. Number 5: E -3.7636 eV/atom. Number 6: E -4.9016 eV/atom. Number 7: E -4.4489 eV/atom. Number 8: E -5.5370 eV/atom.